This record from the Alexandria database describes a geometry-optimized PmPrHg4 structure. The functional is GGA-PBE.

Lattice parameters (Å, degrees): 6.0359 6.0359 6.0359 60.00 60.00 60.00
Element x y z (fractional)
Pm  0.0000  0.0000  0.0000
Pr  0.7500  0.7500  0.7500
Hg  0.3750  0.3750  0.3750
Hg  0.3750  0.3750  0.8751
Hg  0.3750  0.8751  0.3750
Hg  0.8751  0.3750  0.3750

Properties
The value obtained for the magnetic moment is 0.000 μB per atom. The formation energy is -0.280 eV per atom. For the volume, the calculation gives 25.9 A^3/atom. Its offset from the most stable computed form is 123 meV/atom.